## ZrSb2PdI (GGA-PBE)

Data for a relaxed structure of ZrSb2PdI.

abc: 5.7343 5.7343 4.8327
angles: 90.00 90.00 90.00
Space group P4/mmm (No. 123)
Inequivalent atoms, fractional coordinates:
Zr: 0.0000 0.0000 0.0000 (multiplicity 1)
Sb: 0.0000 0.5000 0.5000 (multiplicity 2)
Pd: 0.5000 0.5000 0.0000 (multiplicity 1)
I: 0.5000 0.5000 0.5000 (multiplicity 1)

- Polymorph energy (0 for the lowest one): 0.558 eV per atom
- Formation energy without anion corrections: 1.022 eV/atom
- Total magnetization: 0.689 μB per formula unit

## NpAsO (GGA-PBE)

Data for a relaxed structure of NpAsO.

abc: 3.9939 3.9939 13.7121
angles: 90.00 90.00 90.00
Space group I4/mmm (No. 139)
Inequivalent atoms, fractional coordinates:
Np: 0.0000 0.0000 0.1631 (multiplicity 4)
As: 0.0000 0.5000 0.0000 (multiplicity 4)
O: 0.0000 0.5000 0.2500 (multiplicity 4)

- Polymorph energy (0 for the lowest one): 0.000 eV per atom
- Formation energy without anion corrections: -1.839 eV/atom
- Total magnetization: 3.509 μB per formula unit

## Hg2PdNCl (GGA-PBE)

Data for a relaxed structure of Hg2PdNCl.

abc: 7.0894 7.0894 4.4852
angles: 90.00 90.00 90.00
Space group P4/mmm (No. 123)
Inequivalent atoms, fractional coordinates:
Hg: 0.0000 0.5000 0.0000 (multiplicity 2)
Pd: 0.0000 0.0000 0.5000 (multiplicity 1)
N: 0.5000 0.5000 0.5000 (multiplicity 1)
Cl: 0.0000 0.0000 0.0000 (multiplicity 1)

- Formation energy without anion corrections: 1.238 eV/atom
- Total magnetization: 3.069 μB per formula unit

## KCrI3 (GGA-PBE)

Data for a relaxed structure of KCrI3.

abc: 6.4252 6.4252 6.4252
angles: 90.00 90.00 90.00
Space group Pm-3m (No. 221)
Inequivalent atoms, fractional coordinates:
K: 0.0000 0.0000 0.0000 (multiplicity 1)
Cr: 0.5000 0.5000 0.5000 (multiplicity 1)
I: 0.0000 0.0000 0.5000 (multiplicity 3)

- Formation energy without anion corrections: 0.279 eV/atom
- Total magnetization: 4.000 μB per formula unit

## HgTeI (GGA-PBE)

Data for a relaxed structure of HgTeI.

abc: 6.0617 6.5870 6.8587
angles: 63.47 75.52 77.69
Space group P1 (No. 1)
Inequivalent atoms, fractional coordinates:
Hg: 0.0000 0.0000 0.0000 (multiplicity 1)
Hg: 0.3294 0.2798 0.2482 (multiplicity 1)
Te: 0.7272 0.4243 0.9364 (multiplicity 1)
Te: 0.8916 0.5478 0.2135 (multiplicity 1)
I: 0.1952 0.8203 0.4290 (multiplicity 1)
I: 0.4420 0.1358 0.7102 (multiplicity 1)

- Polymorph energy (0 for the lowest one): 0.024 eV per atom
- Formation energy without anion corrections: -0.178 eV/atom
- Total magnetization: 0.000 μB per formula unit

## BeP2Pt (GGA-PBE)

Data for a relaxed structure of BeP2Pt.

abc: 5.2632 5.2632 9.8340
angles: 90.00 90.00 90.00
Space group I-42d (No. 122)
Inequivalent atoms, fractional coordinates:
Be: 0.0000 0.0000 0.0000 (multiplicity 4)
P: 0.2218 0.2500 0.1250 (multiplicity 8)
Pt: 0.0000 0.0000 0.5000 (multiplicity 4)

- Total magnetization: 0.000 μB per formula unit
- E_form: -158.1 meV per atom

## Hg2AuCl (GGA-PBE)

Data for a relaxed structure of Hg2AuCl.

abc: 3.8674 3.8674 23.4341
angles: 90.00 90.00 120.00
Space group R3m (No. 160, hexagonal axes)
Inequivalent atoms, fractional coordinates:
Hg: 0.0000 0.0000 0.0000 (multiplicity 3)
Hg: 0.0000 0.0000 0.2427 (multiplicity 3)
Au: 0.0000 0.0000 0.5019 (multiplicity 3)
Cl: 0.0000 0.0000 0.7660 (multiplicity 3)

- Polymorph energy (0 for the lowest one): 0.079 eV per atom
- Formation energy without anion corrections: -0.046 eV/atom
- Total magnetization: 0.000 μB per formula unit

## Li3CN (GGA-PBE)

Data for a relaxed structure of Li3CN.

abc: 3.8125 3.8125 3.8125
angles: 90.00 90.00 90.00
Space group Pm-3m (No. 221)
Inequivalent atoms, fractional coordinates:
Li: 0.0000 0.0000 0.5000 (multiplicity 3)
C: 0.5000 0.5000 0.5000 (multiplicity 1)
N: 0.0000 0.0000 0.0000 (multiplicity 1)

- Polymorph energy (0 for the lowest one): 0.000 eV per atom
- Formation energy without anion corrections: 0.801 eV/atom
- Total magnetization: 1.930 μB per formula unit

## RbPmGeTe3 (GGA-PBE)

Data for a relaxed structure of RbPmGeTe3.

abc: 9.5260 4.3748 12.1271
angles: 90.00 110.45 90.00
Space group P2_1/m (No. 11)
Inequivalent atoms, fractional coordinates:
Rb: 0.2366 0.2500 0.2837 (multiplicity 2)
Pm: 0.3629 0.7500 0.8406 (multiplicity 2)
Ge: 0.1176 0.2500 0.5548 (multiplicity 2)
Te: 0.1044 0.2500 0.7739 (multiplicity 2)
Te: 0.3208 0.7500 0.5681 (multiplicity 2)
Te: 0.3869 0.7500 0.1052 (multiplicity 2)

- Formation energy without anion corrections: -0.948 eV/atom
- Total magnetization: 0.000 μB per formula unit

## Rb2CaGaBr6 (GGA-PBE)

Data for a relaxed structure of Rb2CaGaBr6.

abc: 11.2517 11.2517 11.2517
angles: 90.00 90.00 90.00
Space group Fm-3m (No. 225)
Inequivalent atoms, fractional coordinates:
Rb: 0.2500 0.2500 0.2500 (multiplicity 8)
Ca: 0.0000 0.0000 0.0000 (multiplicity 4)
Ga: 0.0000 0.0000 0.5000 (multiplicity 4)
Br: 0.0000 0.0000 0.2554 (multiplicity 24)

- Formation energy without anion corrections: -1.450 eV/atom
- Total magnetization: 0.000 μB per formula unit

## PaTe5 (GGA-PBE)

Data for a relaxed structure of PaTe5.

abc: 4.3030 14.3243 8.0252
angles: 90.00 105.04 90.00
Space group P2_1/m (No. 11)
Inequivalent atoms, fractional coordinates:
Pa: 0.1631 0.2500 0.3948 (multiplicity 2)
Te: 0.2080 0.7500 0.3253 (multiplicity 2)
Te: 0.2678 0.0625 0.5823 (multiplicity 4)
Te: 0.4483 0.6517 0.8346 (multiplicity 4)

- Polymorph energy (0 for the lowest one): 0.000 eV per atom
- Formation energy without anion corrections: -0.465 eV/atom
- Total magnetization: 0.000 μB per formula unit

## La8Ce2Ho (GGA-PBE)

Data for a relaxed structure of La8Ce2Ho.

abc: 5.6680 8.3981 16.3118
angles: 90.00 90.00 90.00
Space group Immm (No. 71)
Inequivalent atoms, fractional coordinates:
La: 0.0000 0.0000 0.1556 (multiplicity 4)
La: 0.0000 0.2025 0.3588 (multiplicity 8)
La: 0.0000 0.2979 0.0000 (multiplicity 4)
Ce: 0.0000 0.5000 0.2010 (multiplicity 4)
Ho: 0.0000 0.5000 0.5000 (multiplicity 2)

- Total magnetization: 1.785 μB per formula unit
- E_form: 143.2 meV per atom

## Dy2NiIr (GGA-PBE)

Data for a relaxed structure of Dy2NiIr.

abc: 6.8148 6.8148 6.8148
angles: 90.00 90.00 90.00
Space group Fm-3m (No. 225)
Inequivalent atoms, fractional coordinates:
Dy: 0.2500 0.2500 0.2500 (multiplicity 8)
Ni: 0.0000 0.0000 0.0000 (multiplicity 4)
Ir: 0.0000 0.0000 0.5000 (multiplicity 4)

- Polymorph energy (0 for the lowest one): 0.031 eV per atom
- Total magnetization: 0.000 μB per formula unit
- E_form: -647.9 meV per atom

## Sr4ScCo (GGA-PBE)

Data for a relaxed structure of Sr4ScCo.

abc: 10.0359 10.0359 10.0359
angles: 90.00 90.00 90.00
Space group F-43m (No. 216)
Inequivalent atoms, fractional coordinates:
Sr: 0.1252 0.1252 0.1252 (multiplicity 16)
Sc: 0.0000 0.0000 0.5000 (multiplicity 4)
Co: 0.2500 0.2500 0.7500 (multiplicity 4)

- Total magnetization: 3.057 μB per formula unit
- E_form: 1033.8 meV per atom

## Sm3Er4Tm5 (GGA-PBE)

Data for a relaxed structure of Sm3Er4Tm5.

abc: 6.1050 7.0582 8.6326
angles: 89.96 89.90 89.86
Space group P-1 (No. 2)
Inequivalent atoms, fractional coordinates:
Sm: 0.0000 0.0000 0.0000 (multiplicity 1)
Sm: 0.1665 0.2503 0.3336 (multiplicity 2)
Er: 0.1682 0.7491 0.3331 (multiplicity 2)
Er: 0.3332 0.5001 0.6676 (multiplicity 2)
Tm: 0.0000 0.5000 0.0000 (multiplicity 1)
Tm: 0.3347 0.0002 0.6675 (multiplicity 2)
Tm: 0.4992 0.7492 0.0000 (multiplicity 2)

- Polymorph energy (0 for the lowest one): 0.000 eV per atom
- Total magnetization: 0.000 μB per formula unit
- E_form: 22.4 meV per atom

## CuSiTc4 (GGA-PBE)

Data for a relaxed structure of CuSiTc4.

abc: 7.1691 7.1691 7.1691
angles: 90.00 90.00 90.00
Space group F-43m (No. 216)
Inequivalent atoms, fractional coordinates:
Cu: 0.0000 0.0000 0.0000 (multiplicity 4)
Si: 0.2500 0.2500 0.7500 (multiplicity 4)
Tc: 0.1252 0.1252 0.3748 (multiplicity 16)

- Formation energy without anion corrections: 0.582 eV/atom
- Total magnetization: 0.000 μB per formula unit

## LiNd4 (GGA-PBE)

Data for a relaxed structure of LiNd4.

abc: 5.5316 5.5316 5.5316
angles: 90.00 90.00 90.00
Space group Pm-3m (No. 221)
Inequivalent atoms, fractional coordinates:
Li: 0.0000 0.0000 0.0000 (multiplicity 1)
Nd: 0.0000 0.0000 0.5000 (multiplicity 3)
Nd: 0.5000 0.5000 0.5000 (multiplicity 1)

- Total magnetization: 0.000 μB per formula unit
- E_form: 387.3 meV per atom

## KNi (GGA-PBE)

Data for a relaxed structure of KNi.

abc: 3.3395 3.3395 9.7288
angles: 90.00 90.00 90.00
Space group P4/nmm (No. 129, origin choice 2)
Inequivalent atoms, fractional coordinates:
K: 0.2500 0.2500 0.2186 (multiplicity 2)
Ni: 0.2500 0.2500 0.5250 (multiplicity 2)

- Polymorph energy (0 for the lowest one): 0.004 eV per atom
- Total magnetization: 0.348 μB per formula unit
- E_form: 516.5 meV per atom

## CaCr4Si (GGA-PBE)

Data for a relaxed structure of CaCr4Si.

abc: 6.9906 6.9906 6.9906
angles: 90.00 90.00 90.00
Space group F-43m (No. 216)
Inequivalent atoms, fractional coordinates:
Ca: 0.0000 0.0000 0.0000 (multiplicity 4)
Cr: 0.1240 0.1240 0.6240 (multiplicity 16)
Si: 0.2500 0.2500 0.2500 (multiplicity 4)

- Formation energy without anion corrections: 0.487 eV/atom
- Total magnetization: 0.000 μB per formula unit

## Mg4ReRh5 (GGA-PBE)

Data for a relaxed structure of Mg4ReRh5.

abc: 2.9937 2.9937 16.6164
angles: 90.00 90.00 90.00
Space group P4/mmm (No. 123)
Inequivalent atoms, fractional coordinates:
Mg: 0.0000 0.0000 0.0980 (multiplicity 2)
Mg: 0.0000 0.0000 0.2924 (multiplicity 2)
Re: 0.0000 0.0000 0.5000 (multiplicity 1)
Rh: 0.5000 0.5000 0.0000 (multiplicity 1)
Rh: 0.5000 0.5000 0.1961 (multiplicity 2)
Rh: 0.5000 0.5000 0.3986 (multiplicity 2)

- Total magnetization: 0.000 μB per formula unit
- E_form: -356.0 meV per atom

## PmErMgAu (GGA-PBE)

Data for a relaxed structure of PmErMgAu.

abc: 7.4099 7.4099 7.4099
angles: 90.00 90.00 90.00
Space group F-43m (No. 216)
Inequivalent atoms, fractional coordinates:
Pm: 0.0000 0.0000 0.0000 (multiplicity 4)
Er: 0.0000 0.0000 0.5000 (multiplicity 4)
Mg: 0.2500 0.2500 0.7500 (multiplicity 4)
Au: 0.2500 0.2500 0.2500 (multiplicity 4)

- Polymorph energy (0 for the lowest one): 0.067 eV per atom
- Total magnetization: 0.000 μB per formula unit
- E_form: -391.1 meV per atom

## La3ZnI3 (GGA-PBE)

Data for a relaxed structure of La3ZnI3.

abc: 12.7624 12.7624 12.7624
angles: 90.00 90.00 90.00
Space group I4_132 (No. 214)
Inequivalent atoms, fractional coordinates:
La: 0.1134 0.3634 0.1250 (multiplicity 24)
Zn: 0.1250 0.1250 0.1250 (multiplicity 8)
I: 0.1161 0.1339 0.6250 (multiplicity 24)

- Formation energy without anion corrections: -0.998 eV/atom
- Total magnetization: 0.000 μB per formula unit

## TlRu2PbO8 (GGA-PBE)

Data for a relaxed structure of TlRu2PbO8.

abc: 6.1375 6.1375 7.8684
angles: 90.00 90.00 120.00
Space group P-3m1 (No. 164)
Inequivalent atoms, fractional coordinates:
Tl: 0.0000 0.0000 0.0000 (multiplicity 1)
Ru: 0.3333 0.6667 0.3335 (multiplicity 2)
Pb: 0.0000 0.0000 0.5000 (multiplicity 1)
O: 0.1718 0.3436 0.2713 (multiplicity 6)
O: 0.3333 0.6667 0.5566 (multiplicity 2)

- Formation energy without anion corrections: -0.807 eV/atom
- Total magnetization: 2.941 μB per formula unit

## Sm4Dy3Tl4 (GGA-PBE)

Data for a relaxed structure of Sm4Dy3Tl4.

abc: 3.6730 9.4603 19.2324
angles: 90.00 90.00 90.00
Space group Immm (No. 71)
Inequivalent atoms, fractional coordinates:
Sm: 0.0000 0.1793 0.1617 (multiplicity 8)
Dy: 0.0000 0.0000 0.4052 (multiplicity 4)
Dy: 0.0000 0.5000 0.5000 (multiplicity 2)
Tl: 0.0000 0.2801 0.0000 (multiplicity 4)
Tl: 0.0000 0.5000 0.2263 (multiplicity 4)

- Total magnetization: 0.000 μB per formula unit
- E_form: -239.3 meV per atom

One value per record, in order, for total DFT energy (no corrections): -3.68; -9.35; -1.96; -2.80; -1.84; -5.30; -1.48; -3.86; -4.24; -3.15; -4.67; -4.94; -6.61; -2.33; -4.54; -7.92; -3.81; -2.92; -7.17; -5.91; -3.94; -3.96; -6.16; -4.07 eV/atom.